Below is a relaxed Dy2CoP crystal, with properties calculated at the PBE-GGA level.

Values from the calculation:
Crystal system: trigonal
V in Å³ per atom: 25.16
Magnetization in μB per atom: 0.240
Energy of formation in eV/atom: -0.0739

Unit cell a=8.597 b=8.597 c=8.597 alpha=25.11 beta=25.11 gamma=25.11
Fractional coordinates of all 4 atoms:
Dy  0.101  0.101  0.101
Dy  0.899  0.899  0.899
Co  0.000  0.000  0.000
P  0.500  0.500  0.500